First-principles (GGA+U) data for a relaxed structure of CrPClF2, as listed in Alexandria via LeMat-Bulk.

a = 3.865 Å, b = 7.648 Å, c = 3.865 Å
α = 90.00°, β = 90.00°, γ = 90.00°
Each line ends with the local moment (μB).
Positions (direct):
Cl  0.000  0.500  0.000  -0.02
F  0.500  0.000  0.000  0.03
F  0.000  0.000  0.500  0.07
Cr  0.500  0.500  0.500  4.49
P  0.000  0.000  0.000  0.34

Properties
Crystal system   tetragonal
Electronic total energy   -4.56 eV per atom
Total magnetic moment   5.749 μB per cell
Calculated volume   22.85 A^3/atom